Computed, not measured: an optimized crystal structure of V3NiS4 at the PBE-GGA level of DFT.

The value obtained for the theoretical density is 4.45 g cm⁻³. The total energy is -6.81 eV/atom.

abc: 6.587 6.423 5.988
angles: 90.00 90.00 90.00
Fractional coordinates of all 16 atoms:
V 0.000 0.232 0.000
V 0.237 0.637 0.114
V 0.263 0.363 0.614
V 0.500 0.768 0.500
V 0.737 0.363 0.614
V 0.763 0.637 0.114
Ni 0.000 0.784 0.503
Ni 0.500 0.216 0.003
S 0.000 0.124 0.643
S 0.000 0.892 0.155
S 0.244 0.692 0.735
S 0.256 0.308 0.235
S 0.500 0.108 0.655
S 0.500 0.876 0.143
S 0.744 0.308 0.235
S 0.756 0.692 0.735